No. 1
Density functional theory data (PBE-GGA) for crystalline AlBI2 at its relaxed geometry.

Geometry as extended XYZ:
```
8
Lattice="6.808 0.000 0.000 0.000 6.808 0.000 3.404 3.404 6.688" Properties=species:S:1:pos:R:3 pbc="T T T"
B 3.404 3.404 0.000
B 3.404 6.808 3.344
I 4.468 1.702 1.672
I 2.341 5.106 1.672
I 8.510 7.872 5.016
I 5.106 5.745 5.016
Al 0.000 0.000 0.000
Al 6.808 3.404 3.344
```

Properties
Energy above the lowest structure with this stoichiometry ... 0.0 meV/atom
ΔE_f (raw) ... 0.98 eV/atom
Density of states at the Fermi level ... 0.68 states/eV per cell



No. 2
Density functional theory data (PBE-GGA) for crystalline Li2MgCd4Ag2 at its relaxed geometry.

Geometry as extended XYZ:
```
9
Lattice="5.475 0.163 0.758 -0.864 7.258 -1.936 -1.617 -5.090 5.380" Properties=species:S:1:pos:R:3 pbc="T T T"
Cd 2.656 -3.173 4.121
Cd 0.339 5.504 0.080
Cd 2.603 1.336 1.173
Cd 0.391 0.996 3.028
Li 3.705 -0.515 3.222
Li -0.711 2.847 0.979
Mg 0.000 0.000 0.000
Ag 3.380 4.589 -0.265
Ag -0.385 -2.257 4.466
```

Properties
Calculated formation energy ... -161 meV per atom
Density of states at the Fermi level ... 2.95 states/eV per cell



No. 3
Density functional theory data (PBE-GGA) for crystalline NaErSO at its relaxed geometry.

Geometry as extended XYZ:
```
4
Lattice="-1.868 2.255 -2.181 -3.633 -0.278 -0.232 -2.443 4.698 3.893" Properties=species:S:1:pos:R:3 pbc="T T T"
O -1.953 1.448 0.113
Er -5.526 2.143 -2.218
S -5.971 5.089 1.208
Na -3.968 3.307 0.705
```

Properties
ΔE_f (raw) ... -2.25 eV/atom
Density of states at the Fermi level ... 0.00 states/eV per cell